[1]
{
  "formula": "KCoIrBr2",
  "functional": "PBE",
  "state": "optimized geometry",
  "sg": "No. 123",
  "raw_formation_energy_mev_per_atom": 897,
  "cell": [[5.007, 0.000, 0.000], [0.000, 5.007, 0.000], [0.000, 0.000, 6.311]],
  "species": ["K", "Ir", "Co", "Br", "Br"],
  "frac_coords": [[0.000, 0.000, 0.500], [0.000, 0.000, 0.000], [0.500, 0.500, 0.500], [0.000, 0.500, 0.000], [0.500, 0.000, 0.000]]
}

---

[2]
{
  "formula": "La2Rh2Se",
  "functional": "PBE",
  "state": "optimized geometry",
  "sg": "No. 139",
  "raw_formation_energy_mev_per_atom": -992,
  "cell": [[3.945, 0.000, 0.000], [0.000, 3.945, 0.000], [1.973, 1.973, 7.798]],
  "species": ["Rh", "Rh", "Se", "La", "La"],
  "frac_coords": [[0.750, 0.250, 0.500], [0.250, 0.750, 0.500], [0.000, 0.000, 0.000], [0.381, 0.381, 0.237], [0.619, 0.619, 0.763]]
}

---

[3]
{
  "formula": "Pt4SeCl",
  "functional": "PBE",
  "state": "optimized geometry",
  "sg": "No. 216",
  "raw_formation_energy_mev_per_atom": 604,
  "cell": [[3.372, -0.144, 4.171], [-0.862, 3.151, 4.256], [-1.581, -2.151, 4.655]],
  "species": ["Pt", "Pt", "Pt", "Pt", "Se", "Cl"],
  "frac_coords": [[0.873, 0.376, 0.376], [0.376, 0.376, 0.873], [0.376, 0.873, 0.376], [0.376, 0.376, 0.376], [0.750, 0.750, 0.750], [0.000, 0.000, 0.000]]
}

---

[4]
{
  "formula": "Th2Ga4PtRh3",
  "functional": "PBE",
  "state": "optimized geometry",
  "sg": "No. 115",
  "ef_ev_per_fu": -8.4,
  "cell": [[4.237, 0.000, 0.000], [0.000, 4.237, 0.000], [0.000, 0.000, 10.479]],
  "species": ["Th", "Th", "Ga", "Ga", "Ga", "Ga", "Pt", "Rh", "Rh", "Rh"],
  "frac_coords": [[0.500, 0.000, 0.248], [0.000, 0.500, 0.752], [0.500, 0.500, 0.000], [0.000, 0.000, 0.000], [0.500, 0.000, 0.631], [0.000, 0.500, 0.369], [0.500, 0.500, 0.500], [0.000, 0.000, 0.500], [0.500, 0.000, 0.865], [0.000, 0.500, 0.135]]
}

---

[5]
{
  "formula": "Pr5BiPt2",
  "functional": "PBE",
  "state": "optimized geometry",
  "sg": "No. 140",
  "ef_ev_per_fu": -6.6,
  "cell": [[8.197, 0.000, 0.000], [0.000, 8.197, 0.000], [-4.098, -4.098, 7.052]],
  "species": ["Pr", "Pr", "Pr", "Pr", "Pr", "Pr", "Pr", "Pr", "Pr", "Pr", "Bi", "Bi", "Pt", "Pt", "Pt", "Pt"],
  "frac_coords": [[0.519, 0.707, 0.726], [0.793, 0.981, 0.274], [0.000, 0.000, 0.000], [0.500, 0.500, 0.000], [0.207, 0.019, 0.726], [0.707, 0.207, 0.726], [0.019, 0.519, 0.726], [0.293, 0.793, 0.274], [0.981, 0.481, 0.274], [0.481, 0.293, 0.274], [0.750, 0.750, 0.500], [0.250, 0.250, 0.500], [0.137, 0.363, 0.000], [0.637, 0.137, 0.000], [0.363, 0.863, 0.000], [0.863, 0.637, 0.000]]
}

---

[6]
{
  "formula": "TaMn3Ge",
  "functional": "PBE",
  "state": "optimized geometry",
  "sg": "No. 221",
  "ef_ev_per_fu": 4.4,
  "cell": [[-3.586, 2.407, -0.870], [0.004, -1.492, -4.146], [-2.559, -3.375, 1.212]],
  "species": ["Ge", "Mn", "Mn", "Mn", "Ta"],
  "frac_coords": [[0.000, 0.000, 0.000], [0.000, 0.500, 0.000], [0.000, 0.000, 0.500], [0.500, 0.000, 0.000], [0.500, 0.500, 0.500]]
}

---

Result set for energy: -0.2341; -0.4851; -0.3169; -0.4661; -0.4266; -0.5813 Ry/atom, one per record in the order listed.